The following is a DFT calculation (PBE) of an optimized crystal structure of ScCdRe2.

Geometry as POSCAR:
```
ScCdRe2
1.0
6.4605 0.0000 0.0000
0.0000 6.4605 0.0000
0.0000 0.0000 6.4605
Sc Cd Re
4 4 8
Direct
0.0000 0.0000 0.0000 Sc
0.0000 0.5000 0.5000 Sc
0.5000 0.0000 0.5000 Sc
0.5000 0.5000 0.0000 Sc
0.2500 0.2500 0.2500 Cd
0.2500 0.7500 0.7500 Cd
0.7500 0.2500 0.7500 Cd
0.7500 0.7500 0.2500 Cd
0.0000 0.0000 0.5000 Re
0.0000 0.5000 0.0000 Re
0.2500 0.2500 0.7500 Re
0.2500 0.7500 0.2500 Re
0.5000 0.0000 0.0000 Re
0.5000 0.5000 0.5000 Re
0.7500 0.2500 0.2500 Re
0.7500 0.7500 0.7500 Re
```

Summary:
SG: F-43m
VASP energy, eV/atom: -7.798
V, Å³/f.u.: 67
ΔH_f (0 K), eV/atom: 0.22